VASP calculation (PBE) on a relaxed Ac6IrOs2Cl3 crystal.

Cell and atoms, written as POSCAR:
```
Ac6IrOs2Cl3
1.0
7.5015 -0.0026 0.0011
-3.7512 6.4963 0.0011
-1.2495 -2.1636 7.9192
Os Ir Cl Ac
2 1 3 6
Direct
0.3336 0.6664 0.0000
0.6664 0.3336 0.0000
0.0000 0.0000 0.0000
0.1711 0.8289 0.5000
0.5000 0.5000 0.5000
0.8289 0.1711 0.5000
0.5953 0.9327 0.7977
0.4047 0.0673 0.2023
0.2704 0.2704 0.7978
0.7296 0.7296 0.2022
0.0673 0.4047 0.2023
0.9327 0.5953 0.7977
```

Computed properties:
- raw formation energy (eV per atom) = -0.965
- space group = C2/m

---

VASP calculation (PBE) on a relaxed Ac8Ir3OsCl4 crystal.

Cell and atoms, written as POSCAR:
```
Ac8Ir3OsCl4
1.0
8.6667 0.0000 0.0000
0.0000 9.3943 0.5058
-4.3334 -4.3323 6.1278
Cl Os Ac Ir
4 1 8 3
Direct
0.5000 0.0000 0.5000
0.0000 0.0000 0.5000
0.0000 0.0000 0.0000
0.5000 0.0000 0.0000
0.0000 0.5000 0.0000
0.2622 0.2978 0.0298
0.7378 0.7022 0.9702
0.2664 0.2997 0.5329
0.2324 0.7022 0.4647
0.7676 0.2978 0.0298
0.2324 0.7022 0.9702
0.7676 0.2978 0.5353
0.7336 0.7003 0.4671
0.5000 0.5000 0.0000
0.0000 0.5000 0.5000
0.5000 0.5000 0.5000
```

Computed properties:
- raw formation energy (eV per atom) = -1.175
- space group = C2/m

---

Raw total energy for every record listed, in sequence, given in eV per atom: -6.091, -6.055.